4
Lattice="3.678 0.000 0.000 0.000 3.645 0.000 -0.008 0.000 7.768" Properties=species:S:1:pos:R:3 comment="La2NiHg, relaxed, DFT GGA-PBE" total_energy_ev_per_atom=-4.352 crystal_system=monoclinic pbc="T T T"
La 0.000 0.000 1.672
La 3.670 0.000 6.096
Ni 1.839 1.823 0.000
Hg 1.835 1.823 3.884